Record 1
Cs3GeF6: relaxed, PBE-GGA.

Cell: 8.858 8.858 6.822 Å, 90.00 90.00 96.29°
Positions (direct):
Cs: 0.098 0.902 0.500
Cs: 0.147 0.399 0.470
Cs: 0.399 0.147 0.970
Cs: 0.601 0.853 0.470
Cs: 0.853 0.601 0.970
Cs: 0.902 0.098 0.000
Ge: 0.390 0.610 0.949
Ge: 0.610 0.390 0.449
F: 0.149 0.171 0.740
F: 0.171 0.149 0.240
F: 0.203 0.559 0.057
F: 0.304 0.696 0.731
F: 0.441 0.797 0.057
F: 0.491 0.509 0.176
F: 0.509 0.491 0.676
F: 0.559 0.203 0.557
F: 0.696 0.304 0.231
F: 0.797 0.441 0.557
F: 0.829 0.851 0.740
F: 0.851 0.829 0.240

Computed properties:
E: -86.47 eV for the cell shown
SG: Cmc2_1 (36)
crystal system: orthorhombic

Record 2
SrAgIF2: relaxed, PBE-GGA.

Cell: 6.723 4.252 8.860 Å, 90.00 95.88 90.00°
Positions (direct):
Sr: 0.236 0.250 0.444
Sr: 0.764 0.750 0.556
Ag: 0.475 0.250 0.888
Ag: 0.525 0.750 0.112
I: 0.196 0.750 0.879
I: 0.804 0.250 0.121
F: 0.053 0.750 0.412
F: 0.457 0.750 0.382
F: 0.543 0.250 0.618
F: 0.947 0.250 0.588

Computed properties:
E: -42.55 eV for the cell shown
SG: P2_1/m (11)
crystal system: monoclinic

Record 3
SrBi2Pt: relaxed, PBE-GGA.

Cell: 5.335 5.335 5.335 Å, 60.00 60.00 60.00°
Positions (direct):
Sr: 0.000 0.000 0.000
Bi: 0.250 0.250 0.250
Bi: 0.750 0.750 0.750
Pt: 0.500 0.500 0.500

Computed properties:
SG: Fm-3m (225)
energy of formation from the pure elements: -20.1 kJ/mol of atoms
crystal system: cubic

Record 4
BeCo2Os: relaxed, PBE-GGA.

Cell: 4.387 4.387 4.387 Å, 133.63 133.63 67.66°
Positions (direct):
Be: 0.000 0.000 0.000
Co: 0.250 0.750 0.500
Co: 0.750 0.250 0.500
Os: 0.500 0.500 0.000

Computed properties:
SG: I4/mmm (139)
energy of formation from the pure elements: 1.6 kJ/mol of atoms
crystal system: tetragonal

Record 5
TcGeN2O: relaxed, PBE-GGA.

Cell: 3.929 3.929 3.877 Å, 90.00 90.00 90.00°
Positions (direct):
Tc: 0.000 0.000 0.000
Ge: 0.500 0.500 0.500
N: 0.000 0.500 0.000
N: 0.500 0.000 0.000
O: 0.000 0.000 0.500

Computed properties:
E: -35.31 eV for the cell shown
SG: P4/mmm (123)
crystal system: tetragonal

Record 6
Be2SbPb: relaxed, PBE-GGA.

Cell: 4.803 4.803 4.803 Å, 60.00 60.00 60.00°
Positions (direct):
Be: 0.250 0.250 0.250
Be: 0.750 0.750 0.750
Sb: 0.000 0.000 0.000
Pb: 0.500 0.500 0.500

Computed properties:
E: -12.20 eV for the cell shown
SG: Fm-3m (225)
crystal system: cubic

Record 7
Pr2Dy4Al: relaxed, PBE-GGA.

Cell: 19.444 19.444 19.444 Å, 10.69 10.69 10.69°
Positions (direct):
Pr: 0.194 0.194 0.194
Pr: 0.806 0.806 0.806
Dy: 0.089 0.089 0.089
Dy: 0.295 0.295 0.295
Dy: 0.705 0.705 0.705
Dy: 0.911 0.911 0.911
Al: 0.000 0.000 0.000

Computed properties:
SG: R-3m (166)
energy of formation from the pure elements: -2.4 kJ/mol of atoms
crystal system: trigonal

Record 8
Zr3Hg2: relaxed, PBE-GGA.

Cell: 6.770 6.770 5.619 Å, 99.74 99.74 105.47°
Positions (direct):
Zr: 0.000 0.500 0.000
Zr: 0.102 0.228 0.475
Zr: 0.228 0.102 0.975
Zr: 0.500 0.000 0.500
Zr: 0.772 0.898 0.025
Zr: 0.898 0.772 0.525
Hg: 0.300 0.700 0.750
Hg: 0.431 0.569 0.250
Hg: 0.569 0.431 0.750
Hg: 0.700 0.300 0.250

Computed properties:
SG: C2/c (15)
energy of formation from the pure elements: 13.6 kJ/mol of atoms
crystal system: monoclinic

Record 9
Te2P3O12: relaxed, PBE-GGA.

Cell: 9.307 9.307 9.307 Å, 55.34 55.34 55.34°
Positions (direct):
Te: 0.141 0.141 0.141
Te: 0.347 0.347 0.347
Te: 0.653 0.653 0.653
Te: 0.859 0.859 0.859
P: 0.043 0.749 0.455
P: 0.251 0.545 0.957
P: 0.455 0.043 0.749
P: 0.545 0.957 0.251
P: 0.749 0.455 0.043
P: 0.957 0.251 0.545
O: 0.030 0.788 0.603
O: 0.119 0.747 0.877
O: 0.123 0.881 0.253
O: 0.153 0.214 0.524
O: 0.175 0.540 0.480
O: 0.212 0.397 0.970
O: 0.214 0.524 0.153
O: 0.253 0.123 0.881
O: 0.397 0.970 0.212
O: 0.460 0.520 0.825
O: 0.476 0.847 0.786
O: 0.480 0.175 0.540
O: 0.520 0.825 0.460
O: 0.524 0.153 0.214
O: 0.540 0.480 0.175
O: 0.603 0.030 0.788
O: 0.747 0.877 0.119
O: 0.786 0.476 0.847
O: 0.788 0.603 0.030
O: 0.825 0.460 0.520
O: 0.847 0.786 0.476
O: 0.877 0.119 0.747
O: 0.881 0.253 0.123
O: 0.970 0.212 0.397

Computed properties:
E: -219.72 eV for the cell shown
SG: R-3 (148)
crystal system: trigonal

Record 10
Rb2YHgF6: relaxed, PBE-GGA.

Cell: 6.741 6.741 6.741 Å, 60.00 60.00 60.00°
Positions (direct):
Rb: 0.250 0.250 0.250
Rb: 0.750 0.750 0.750
Y: 0.000 0.000 0.000
Hg: 0.500 0.500 0.500
F: 0.229 0.229 0.771
F: 0.229 0.771 0.229
F: 0.229 0.771 0.771
F: 0.771 0.229 0.229
F: 0.771 0.229 0.771
F: 0.771 0.771 0.229

Computed properties:
E: -48.50 eV for the cell shown
SG: Fm-3m (225)
crystal system: cubic

Record 11
Ac2TiRe2N6: relaxed, PBE-GGA.

Cell: 6.858 6.858 6.858 Å, 49.28 49.28 49.28°
Positions (direct):
Ac: 0.211 0.211 0.211
Ac: 0.789 0.789 0.789
Ti: 0.000 0.000 0.000
Re: 0.391 0.391 0.391
Re: 0.609 0.609 0.609
N: 0.227 0.755 0.755
N: 0.245 0.245 0.773
N: 0.245 0.773 0.245
N: 0.755 0.227 0.755
N: 0.755 0.755 0.227
N: 0.773 0.245 0.245

Computed properties:
E: -97.58 eV for the cell shown
SG: R-3m (166)
crystal system: trigonal

Record 12
Sr3AlB2O8: relaxed, PBE-GGA.

Cell: 5.182 5.182 6.777 Å, 90.00 90.00 120.00°
Positions (direct):
Sr: 0.000 0.000 0.000
Sr: 0.333 0.667 0.682
Sr: 0.667 0.333 0.318
Al: 0.000 0.000 0.500
B: 0.333 0.667 0.255
B: 0.667 0.333 0.745
O: 0.174 0.348 0.330
O: 0.174 0.826 0.330
O: 0.333 0.667 0.042
O: 0.348 0.174 0.670
O: 0.652 0.826 0.330
O: 0.667 0.333 0.958
O: 0.826 0.174 0.670
O: 0.826 0.652 0.670

Computed properties:
E: -99.02 eV for the cell shown
SG: P-3m1 (164)
crystal system: trigonal

no.,total magnetic moment (μB per formula unit)
1,0.0
2,0.0
3,0.0
4,0.9
5,0.0
6,0.0
7,0.0
8,0.0
9,0.4
10,1.0
11,0.0
12,1.0